# 1
First-principles (PBE) data for a relaxed LaCd2RuPt crystal, as listed in Alexandria.

Output
Theoretical density: 8.35 g cm⁻³
E_form: 27.8 kJ per mole of atoms
Space-group type: No. 123

Unit cell a=5.065 b=5.118 c=5.065 alpha=90.00 beta=90.00 gamma=90.00
Site moments in Bohr magnetons follow the coordinates.
Fractional positions:
Ru 0.000 0.500 0.000  1.56
Cd 0.000 0.000 0.500  -0.01
Cd 0.500 0.000 0.000  0.01
Pt 0.000 0.000 0.000  0.22
La 0.500 0.500 0.500  -0.10



# 2
First-principles (PBE) data for a relaxed NaNpIn2I6 crystal, as listed in Alexandria.

Output
Formation energy without anion corrections: -74.4 kJ/mol of atoms
Theoretical density: 4.57 g cm⁻³
Space-group type: No. 146

Unit cell a=8.470 b=8.470 c=8.803 alpha=61.22 beta=61.23 gamma=59.98
Site moments in Bohr magnetons follow the coordinates.
Fractional positions:
Na 0.819 0.819 0.543  0.00
Np 0.324 0.324 0.027  4.00
In 0.524 0.524 0.430  0.00
In 0.018 0.018 0.945  0.00
I 0.578 0.183 0.262  -0.02
I 0.183 0.977 0.262  -0.02
I 0.977 0.578 0.261  -0.02
I 0.451 0.683 0.762  -0.02
I 0.683 0.105 0.762  -0.02
I 0.105 0.451 0.762  -0.02



# 3
First-principles (PBE) data for a relaxed Tm4InCu crystal, as listed in Alexandria.

Output
Theoretical density: 8.22 g cm⁻³
E_form: -1.1 kJ per mole of atoms
Space-group type: No. 14

Unit cell a=6.631 b=7.337 c=7.130 alpha=90.00 beta=95.71 gamma=90.00
Fractional positions:
Tm 0.911 0.645 0.173
Tm 0.589 0.145 0.827
Tm 0.323 0.329 0.353
Tm 0.177 0.829 0.647
Tm 0.089 0.355 0.827
Tm 0.411 0.855 0.173
Tm 0.677 0.671 0.647
Tm 0.823 0.171 0.353
In 0.000 0.000 0.000
In 0.500 0.500 0.000
Cu 0.500 0.000 0.500
Cu 0.000 0.500 0.500



# 4
First-principles (PBE) data for a relaxed TcHg2Cl crystal, as listed in Alexandria.

Output
Formation energy without anion corrections: 44.3 kJ/mol of atoms
Theoretical density: 10.64 g cm⁻³
Space-group type: No. 6

Unit cell a=4.564 b=3.210 c=5.907 alpha=74.61 beta=90.00 gamma=90.00
Site moments in Bohr magnetons follow the coordinates.
Fractional positions:
Cl 0.500 0.589 0.699  0.05
Hg 0.000 0.940 0.000  -0.01
Hg 0.500 0.306 0.258  0.01
Tc 0.000 0.665 0.543  2.05



# 5
First-principles (PBE) data for a relaxed Hf3ZnRu crystal, as listed in Alexandria.

Output
Theoretical density: 9.59 g cm⁻³
E_form: 40.4 kJ per mole of atoms
Space-group type: No. 221

Unit cell a=4.954 b=4.954 c=4.954 alpha=90.00 beta=90.00 gamma=90.00
Fractional positions:
Ru 0.000 0.000 0.000
Zn 0.500 0.500 0.500
Hf 0.000 0.500 0.000
Hf 0.000 0.000 0.500
Hf 0.500 0.000 0.000



# 6
First-principles (PBE) data for a relaxed AgTeSeN2 crystal, as listed in Alexandria.

Output
Formation energy without anion corrections: 163.4 kJ/mol of atoms
Theoretical density: 5.17 g cm⁻³
Space-group type: No. 123

Unit cell a=4.103 b=4.103 c=6.533 alpha=90.00 beta=90.00 gamma=90.00
Site moments in Bohr magnetons follow the coordinates.
Fractional positions:
Te 0.500 0.500 0.500  0.07
Se 0.000 0.000 0.500  0.04
Ag 0.000 0.000 0.000  0.22
N 0.000 0.500 0.000  1.18
N 0.500 0.000 0.000  1.18



# 7
First-principles (PBE) data for a relaxed Pm2Nd3Ni2 crystal, as listed in Alexandria.

Output
Theoretical density: 7.25 g cm⁻³
E_form: -17.0 kJ per mole of atoms
Space-group type: No. 12

Unit cell a=3.772 b=6.398 c=9.143 alpha=112.92 beta=90.00 gamma=107.14
Fractional positions:
Pm 0.832 0.664 0.193
Pm 0.168 0.336 0.807
Nd 0.500 0.000 0.000
Nd 0.615 0.231 0.428
Nd 0.385 0.769 0.572
Ni 0.835 0.669 0.772
Ni 0.165 0.331 0.228



# 8
First-principles (PBE) data for a relaxed BaCr2Cd crystal, as listed in Alexandria.

Output
Theoretical density: 5.94 g cm⁻³
E_form: 75.0 kJ per mole of atoms
Space-group type: No. 12

Unit cell a=5.228 b=5.228 c=6.319 alpha=74.78 beta=74.78 gamma=36.54
Fractional positions:
Ba 0.750 0.750 0.750
Cd 0.250 0.250 0.250
Cr 0.986 0.986 0.149
Cr 0.514 0.514 0.351



# 9
First-principles (PBE) data for a relaxed ScNb4Se8 crystal, as listed in Alexandria.

Output
Formation energy without anion corrections: -89.8 kJ/mol of atoms
Theoretical density: 6.08 g cm⁻³
Space-group type: No. 166

Unit cell a=7.079 b=7.079 c=7.758 alpha=90.00 beta=117.15 gamma=120.00
Fractional positions:
Sc 0.000 0.500 0.500
Nb 0.000 0.000 0.000
Nb 0.000 0.500 0.000
Nb 0.500 0.500 0.000
Nb 0.500 0.000 0.000
Se 0.500 0.750 0.250
Se 0.500 0.250 0.750
Se 0.494 0.247 0.255
Se 0.992 0.239 0.745
Se 0.506 0.753 0.745
Se 0.992 0.753 0.745
Se 0.008 0.247 0.255
Se 0.008 0.761 0.255



# 10
First-principles (PBE) data for a relaxed Cs3ErBi2Te6 crystal, as listed in Alexandria.

Output
Formation energy without anion corrections: -84.0 kJ/mol of atoms
Theoretical density: 5.86 g cm⁻³
Space-group type: No. 12

Unit cell a=8.015 b=8.015 c=9.306 alpha=98.25 beta=98.25 gamma=119.99
Fractional positions:
Cs 0.169 0.831 0.500
Cs 0.831 0.169 0.500
Cs 0.500 0.500 0.500
Er 0.000 0.000 0.000
Bi 0.334 0.666 0.000
Bi 0.666 0.334 0.000
Te 0.937 0.611 0.810
Te 0.738 0.738 0.191
Te 0.063 0.389 0.190
Te 0.611 0.937 0.810
Te 0.262 0.262 0.809
Te 0.389 0.063 0.190



# 11
First-principles (PBE) data for a relaxed LiPBrCl2 crystal, as listed in Alexandria.

Output
Formation energy without anion corrections: 21.9 kJ/mol of atoms
Theoretical density: 1.88 g cm⁻³
Space-group type: No. 123

Unit cell a=6.019 b=6.019 c=4.600 alpha=90.00 beta=90.00 gamma=90.00
Site moments in Bohr magnetons follow the coordinates.
Fractional positions:
P 0.000 0.000 0.500  0.21
Li 0.500 0.500 0.500  0.00
Br 0.000 0.000 0.000  -0.02
Cl 0.000 0.500 0.000  0.01
Cl 0.500 0.000 0.000  0.01



# 12
First-principles (PBE) data for a relaxed NdLu2Sn crystal, as listed in Alexandria.

Output
Theoretical density: 9.16 g cm⁻³
E_form: -37.6 kJ per mole of atoms
Space-group type: No. 123

Unit cell a=4.780 b=4.821 c=4.821 alpha=90.00 beta=90.00 gamma=90.00
Fractional positions:
Lu 0.000 0.000 0.500
Lu 0.000 0.500 0.000
Nd 0.500 0.500 0.500
Sn 0.500 0.000 0.000